A relaxed structure of Na3Ce2ZnS6, computed with PBE-GGA.

Cell: 6.8802 11.9488 7.0450 Å, 90.00 108.90 90.00°
Closest atoms and distances in Å follow each position.
Space group C2/m (No. 12)
One atom of each set of equivalent atoms:
Na 0.0000 0.0000 0.0000  6 S 2.91-3.02
Na 0.0000 0.3350 0.0000  6 S 2.90-3.01
Ce 0.0000 0.1669 0.5000  6 S 2.78
Zn 0.0000 0.5000 0.5000  6 S 2.65-2.69
S 0.2365 0.3389 0.7266  1 Zn 2.69, 2 Ce 2.78, 3 Na 2.90-3.01
S 0.2447 0.5000 0.2775  1 Zn 2.65, 2 Ce 2.78, 2 Na 2.90

Summary:
**Formation energy (no corrections)**: -1.43 eV per atom
**Electronic total energy**: -4.92 eV per atom
**Magnetization**: 1.0 μB/f.u.